# 1
VASP calculation (PBE-GGA) on a geometry-optimized SiTc2Se structure.

Geometry as POSCAR:
```
SiTc2Se
1.0
4.2993 0.0073 0.0023
3.2740 2.7866 0.0023
1.1385 0.4200 4.9419
Tc Si Se
2 1 1
direct
0.5160 0.5160 0.4987 Tc
0.9840 0.9840 0.0013 Tc
0.2500 0.2500 0.2500 Si
0.7500 0.7500 0.7500 Se
```

Values from the calculation:
Excess energy over the best structure of this formula in the dataset = 161.9 meV/atom
Formation energy from raw total energies = 47 meV per atom

***

# 2
VASP calculation (PBE-GGA) on a geometry-optimized SiTcSe2 structure.

Geometry as POSCAR:
```
SiTcSe2
1.0
8.7236 -0.0174 -0.0102
8.1635 3.0753 -0.0102
8.1635 1.4783 2.6968
Se Si Tc
2 1 1
direct
0.4868 0.4868 0.4868 Se
0.0132 0.0132 0.0132 Se
0.2500 0.2500 0.2500 Si
0.7500 0.7500 0.7500 Tc
```

Values from the calculation:
Formation energy from raw total energies = 203 meV per atom

***

# 3
VASP calculation (PBE-GGA) on a geometry-optimized SiTcSe2 structure.

Geometry as POSCAR:
```
SiTcSe2
1.0
1.8236 0.0000 9.0023
-0.9118 1.5793 9.0023
-0.9118 -1.5793 9.0023
Si Tc Se
1 1 2
direct
0.0000 0.0000 0.0000 Si
0.5000 0.5000 0.5000 Tc
0.1009 0.1009 0.1009 Se
0.8991 0.8991 0.8991 Se
```

Values from the calculation:
Formation energy from raw total energies = 196 meV per atom

***

# 4
VASP calculation (PBE-GGA) on a geometry-optimized SiTc2Se structure.

Geometry as POSCAR:
```
SiTc2Se
1.0
4.6231 0.0009 -0.0004
3.6103 2.8877 -0.0004
1.1643 0.4085 4.3604
Se Tc Si
1 2 1
direct
0.4948 0.4948 0.5394 Se
0.9939 0.9939 0.0928 Tc
0.7517 0.7517 0.6898 Tc
0.2595 0.2595 0.1780 Si
```

Values from the calculation:
Excess energy over the best structure of this formula in the dataset = 28.2 meV/atom
Formation energy from raw total energies = -87 meV per atom

***

# 5
VASP calculation (PBE-GGA) on a geometry-optimized SiTc2Se structure.

Geometry as POSCAR:
```
SiTc2Se
1.0
2.9044 0.0000 0.0000
0.0000 3.9087 0.0000
0.0000 0.0000 5.2252
Se Tc Si
1 2 1
direct
0.0000 0.0000 0.4498 Se
0.0000 0.0000 0.9640 Tc
0.5000 0.5000 0.2856 Tc
0.5000 0.5000 0.8006 Si
```

Values from the calculation:
Excess energy over the best structure of this formula in the dataset = 119.0 meV/atom
Formation energy from raw total energies = 4 meV per atom

***

# 6
VASP calculation (PBE-GGA) on a geometry-optimized SiTcSe2 structure.

Geometry as POSCAR:
```
SiTcSe2
1.0
3.7652 0.0000 0.0000
0.0000 3.2758 -0.1651
0.0000 0.3909 6.8044
Tc Se Si
1 2 1
direct
0.5000 0.8749 0.6318 Tc
0.0000 0.8707 0.9054 Se
0.5000 0.3793 0.3428 Se
0.0000 0.3750 0.6200 Si
```

Values from the calculation:
Formation energy from raw total energies = -86 meV per atom

***

# 7
VASP calculation (PBE-GGA) on a geometry-optimized SiTc2Se structure.

Geometry as POSCAR:
```
SiTc2Se
1.0
-3.1020 -3.5223 0.5862
2.4110 -4.0657 -0.1716
0.7370 3.9095 2.5584
Se Si Tc
1 1 2
direct
0.5000 0.5000 0.0000 Se
0.7500 0.2500 0.5000 Si
0.2500 0.7500 0.5000 Tc
0.0000 0.0000 0.0000 Tc
```

Values from the calculation:
Excess energy over the best structure of this formula in the dataset = 418.5 meV/atom
Formation energy from raw total energies = 304 meV per atom

***

# 8
VASP calculation (PBE-GGA) on a geometry-optimized SiTc2Se structure.

Geometry as POSCAR:
```
SiTc2Se
1.0
-5.8181 -1.4328 5.1742
-3.7958 -3.4308 6.0413
-3.6246 -0.6263 7.0104
Si Se Tc
1 1 2
direct
0.7500 0.7500 0.7500 Si
0.2500 0.2500 0.2500 Se
0.0021 0.0021 0.0021 Tc
0.4979 0.4979 0.4979 Tc
```

Values from the calculation:
Excess energy over the best structure of this formula in the dataset = 163.2 meV/atom
Formation energy from raw total energies = 48 meV per atom